w | Density functional theory data (PBE) for a relaxed CsLaP2S crystal.

Lattice parameters (Å, degrees): 5.809 5.809 5.606 90.00 90.00 90.00
Positions (direct):
P1 0.000 0.500 0.000
P2 0.500 0.000 0.000
Cs1 0.500 0.500 0.500
S1 0.000 0.000 0.500
La1 0.000 0.000 0.000

Values from the calculation:
The mass density comes out at 3.21 Mg/m³. The density of states at the Fermi level is 1.1120 states/eV/atom. For the total magnetization, the calculation gives 2.8 μB/f.u.

---

x | Density functional theory data (PBE) for a relaxed CsLaP2S crystal.

Lattice parameters (Å, degrees): 5.370 5.370 5.190 90.00 90.00 90.00
Positions (direct):
Cs1 0.000 0.000 0.000
P1 0.500 0.000 0.000
P2 0.000 0.500 0.000
S1 0.000 0.000 0.500
La1 0.500 0.500 0.500

Values from the calculation:
The mass density comes out at 4.06 Mg/m³. The density of states at the Fermi level is 1.2941 states/eV/atom. For the total magnetization, the calculation gives 0.0 μB/f.u.

---

Computed stability ranking, most favorable first: w, x